## Hg2Te2Cl (PBE)

Data for crystalline Hg2Te2Cl at its relaxed geometry.

Formation energy from raw total energies in eV/atom: -0.285
ΔE to the lowest computed polymorph in meV/atom: 0

Structure (CIF):
```
data_Hg2Te2Cl
_space_group_name_H-M_alt 'P -1'
_space_group_IT_number 2
_cell_length_a 6.6295
_cell_length_b 7.2882
_cell_length_c 8.7017
_cell_angle_alpha 95.76
_cell_angle_beta 102.67
_cell_angle_gamma 113.05
loop_
_space_group_symop_operation_xyz
'x,y,z'
'-x,-y,-z'
loop_
_atom_site_label
_atom_site_type_symbol
_atom_site_fract_x
_atom_site_fract_y
_atom_site_fract_z
_atom_site_occupancy
Hg1 Hg 0.1445 0.2563 0.1561 1
Hg2 Hg 0.1576 0.2480 0.6895 1
Te1 Te 0.1692 0.8583 0.1508 1
Te2 Te 0.4335 0.6121 0.3857 1
Cl1 Cl 0.1352 0.8246 0.6269 1
```

***

## La2PmNd3S6 (PBE)

Data for crystalline La2PmNd3S6 at its relaxed geometry.

Formation energy from raw total energies in eV/atom: -2.080

Structure (CIF):
```
data_La2PmNd3S6
_space_group_name_H-M_alt 'C 1 2/m 1'
_space_group_IT_number 12
_cell_length_a 7.0838
_cell_length_b 12.2986
_cell_length_c 7.0793
_cell_angle_alpha 90.00
_cell_angle_beta 109.57
_cell_angle_gamma 90.00
loop_
_space_group_symop_operation_xyz
'x,y,z'
'-x,-y,-z'
'-x,y,-z'
'x,-y,z'
'x+1/2,y+1/2,z'
'-x+1/2,-y+1/2,-z'
'-x+1/2,y+1/2,-z'
'x+1/2,-y+1/2,z'
loop_
_atom_site_label
_atom_site_type_symbol
_atom_site_fract_x
_atom_site_fract_y
_atom_site_fract_z
_atom_site_occupancy
La1 La 0.0000 0.1661 0.0000 1
Pm1 Pm 0.0000 0.5000 0.0000 1
Nd1 Nd 0.0000 0.0000 0.5000 1
Nd2 Nd 0.0000 0.3325 0.5000 1
S1 S 0.2445 0.5000 0.7467 1
S2 S 0.2484 0.3353 0.2516 1
```

***

## MnP3S (PBE)

Data for crystalline MnP3S at its relaxed geometry.

Formation energy from raw total energies in eV/atom: 1.342
ΔE to the lowest computed polymorph in meV/atom: 842

Structure (CIF):
```
data_MnP3S
_space_group_name_H-M_alt 'P m -3 m'
_space_group_IT_number 221
_space_group_name_Hall '-P 4 2 3'
_cell_length_a 4.3621
_cell_length_b 4.3621
_cell_length_c 4.3621
_cell_angle_alpha 90.00
_cell_angle_beta 90.00
_cell_angle_gamma 90.00
loop_
_atom_site_label
_atom_site_type_symbol
_atom_site_fract_x
_atom_site_fract_y
_atom_site_fract_z
_atom_site_occupancy
Mn1 Mn 0.0000 0.0000 0.0000 1
P1 P 0.0000 0.5000 0.5000 1
S1 S 0.5000 0.5000 0.5000 1
```

***

## CrFeOs2 (PBE)

Data for crystalline CrFeOs2 at its relaxed geometry.

Structure (CIF):
```
data_CrFeOs2
_space_group_name_H-M_alt 'F -4 3 m'
_space_group_IT_number 216
_space_group_name_Hall 'F -4 2 3'
_cell_length_a 5.9818
_cell_length_b 5.9818
_cell_length_c 5.9818
_cell_angle_alpha 90.00
_cell_angle_beta 90.00
_cell_angle_gamma 90.00
loop_
_atom_site_label
_atom_site_type_symbol
_atom_site_fract_x
_atom_site_fract_y
_atom_site_fract_z
_atom_site_occupancy
Cr1 Cr 0.0000 0.0000 0.0000 1
Fe1 Fe 0.2500 0.2500 0.7500 1
Os1 Os 0.0000 0.0000 0.5000 1
Os2 Os 0.2500 0.2500 0.2500 1
```

***

## Li2TaRu (PBE)

Data for crystalline Li2TaRu at its relaxed geometry.

ΔE to the lowest computed polymorph in meV/atom: 109

Structure (CIF):
```
data_Li2TaRu
_space_group_name_H-M_alt 'C 1 2/m 1'
_space_group_IT_number 12
_cell_length_a 5.1199
_cell_length_b 10.0257
_cell_length_c 2.9380
_cell_angle_alpha 90.00
_cell_angle_beta 122.45
_cell_angle_gamma 90.00
loop_
_space_group_symop_operation_xyz
'x,y,z'
'-x,-y,-z'
'-x,y,-z'
'x,-y,z'
'x+1/2,y+1/2,z'
'-x+1/2,-y+1/2,-z'
'-x+1/2,y+1/2,-z'
'x+1/2,-y+1/2,z'
loop_
_atom_site_label
_atom_site_type_symbol
_atom_site_fract_x
_atom_site_fract_y
_atom_site_fract_z
_atom_site_occupancy
Li1 Li 0.2500 0.2500 0.0000 1
Ta1 Ta 0.0000 0.0000 0.5000 1
Ru1 Ru 0.0000 0.5000 0.5000 1
```

***

## Pu2GePt (PBE)

Data for crystalline Pu2GePt at its relaxed geometry.

Structure (CIF):
```
data_Pu2GePt
_space_group_name_H-M_alt 'R -3 m'
_space_group_IT_number 166
_space_group_name_Hall '-R 3 2"'
_cell_length_a 3.0012
_cell_length_b 3.0012
_cell_length_c 30.6926
_cell_angle_alpha 90.00
_cell_angle_beta 90.00
_cell_angle_gamma 120.00
loop_
_atom_site_label
_atom_site_type_symbol
_atom_site_fract_x
_atom_site_fract_y
_atom_site_fract_z
_atom_site_occupancy
Pu1 Pu 0.0000 0.0000 0.2491 1
Ge1 Ge 0.0000 0.0000 0.0000 1
Pt1 Pt 0.0000 0.0000 0.5000 1
```

***

## K2TaI (PBE)

Data for crystalline K2TaI at its relaxed geometry.

Formation energy from raw total energies in eV/atom: 0.925
ΔE to the lowest computed polymorph in meV/atom: 10

Structure (CIF):
```
data_K2TaI
_space_group_name_H-M_alt 'I -4 2 d'
_space_group_IT_number 122
_space_group_name_Hall 'I -4 2bw'
_cell_length_a 12.3988
_cell_length_b 12.3988
_cell_length_c 5.5112
_cell_angle_alpha 90.00
_cell_angle_beta 90.00
_cell_angle_gamma 90.00
loop_
_atom_site_label
_atom_site_type_symbol
_atom_site_fract_x
_atom_site_fract_y
_atom_site_fract_z
_atom_site_occupancy
K1 K 0.1108 0.2500 0.1250 1
Ta1 Ta 0.0000 0.0000 0.5000 1
I1 I 0.0000 0.0000 0.0000 1
```

***

## ReAg2Os (PBE)

Data for crystalline ReAg2Os at its relaxed geometry.

ΔE to the lowest computed polymorph in meV/atom: 63

Structure (CIF):
```
data_ReAg2Os
_space_group_name_H-M_alt 'P 4 m m'
_space_group_IT_number 99
_cell_length_a 2.8569
_cell_length_b 2.8569
_cell_length_c 8.0709
_cell_angle_alpha 90.00
_cell_angle_beta 90.00
_cell_angle_gamma 90.00
loop_
_space_group_symop_operation_xyz
'x,y,z'
'-y,x,z'
'-x,-y,z'
'y,-x,z'
'-x,y,z'
'y,x,z'
'x,-y,z'
'-y,-x,z'
loop_
_atom_site_label
_atom_site_type_symbol
_atom_site_fract_x
_atom_site_fract_y
_atom_site_fract_z
_atom_site_occupancy
Re1 Re 0.0000 0.0000 0.0000 1
Ag1 Ag 0.0000 0.0000 0.5362 1
Ag2 Ag 0.5000 0.5000 0.2705 1
Os1 Os 0.5000 0.5000 0.8050 1
```

***

## Pr2DyF (PBE)

Data for crystalline Pr2DyF at its relaxed geometry.

Formation energy from raw total energies in eV/atom: -1.126

Structure (CIF):
```
data_Pr2DyF
_space_group_name_H-M_alt 'R -3 m'
_space_group_IT_number 166
_space_group_name_Hall '-R 3 2"'
_cell_length_a 3.8210
_cell_length_b 3.8210
_cell_length_c 26.2716
_cell_angle_alpha 90.00
_cell_angle_beta 90.00
_cell_angle_gamma 120.00
loop_
_atom_site_label
_atom_site_type_symbol
_atom_site_fract_x
_atom_site_fract_y
_atom_site_fract_z
_atom_site_occupancy
Pr1 Pr 0.0000 0.0000 0.2238 1
Dy1 Dy 0.0000 0.0000 0.0000 1
F1 F 0.0000 0.0000 0.5000 1
```

***

## Ce6Bi2Sb3Te (PBE)

Data for crystalline Ce6Bi2Sb3Te at its relaxed geometry.

Formation energy from raw total energies in eV/atom: -1.020

Structure (CIF):
```
data_Ce6Bi2Sb3Te
_space_group_name_H-M_alt 'C 1 2/m 1'
_space_group_IT_number 12
_cell_length_a 19.7651
_cell_length_b 4.5246
_cell_length_c 9.1034
_cell_angle_alpha 90.00
_cell_angle_beta 103.18
_cell_angle_gamma 90.00
loop_
_space_group_symop_operation_xyz
'x,y,z'
'-x,-y,-z'
'-x,y,-z'
'x,-y,z'
'x+1/2,y+1/2,z'
'-x+1/2,-y+1/2,-z'
'-x+1/2,y+1/2,-z'
'x+1/2,-y+1/2,z'
loop_
_atom_site_label
_atom_site_type_symbol
_atom_site_fract_x
_atom_site_fract_y
_atom_site_fract_z
_atom_site_occupancy
Ce1 Ce 0.0018 0.0000 0.2475 1
Ce2 Ce 0.1650 0.5000 0.0868 1
Ce3 Ce 0.1673 0.5000 0.5786 1
Bi1 Bi 0.1664 0.0000 0.8326 1
Sb1 Sb 0.0000 0.5000 0.0000 1
Sb2 Sb 0.1667 0.0000 0.3333 1
Te1 Te 0.0000 0.5000 0.5000 1
```

***

## AlNiMo2 (PBE)

Data for crystalline AlNiMo2 at its relaxed geometry.

Structure (CIF):
```
data_AlNiMo2
_space_group_name_H-M_alt 'I m m 2'
_space_group_IT_number 44
_cell_length_a 3.2444
_cell_length_b 4.3644
_cell_length_c 8.1245
_cell_angle_alpha 90.00
_cell_angle_beta 90.00
_cell_angle_gamma 90.00
loop_
_space_group_symop_operation_xyz
'x,y,z'
'-x,-y,z'
'-x,y,z'
'x,-y,z'
'x+1/2,y+1/2,z+1/2'
'-x+1/2,-y+1/2,z+1/2'
'-x+1/2,y+1/2,z+1/2'
'x+1/2,-y+1/2,z+1/2'
loop_
_atom_site_label
_atom_site_type_symbol
_atom_site_fract_x
_atom_site_fract_y
_atom_site_fract_z
_atom_site_occupancy
Al1 Al 0.0000 0.0000 0.0000 1
Ni1 Ni 0.0000 0.5000 0.2706 1
Mo1 Mo 0.0000 0.0000 0.5163 1
Mo2 Mo 0.0000 0.5000 0.7722 1
```

***

## CeZnCu11 (PBE)

Data for crystalline CeZnCu11 at its relaxed geometry.

Structure (CIF):
```
data_CeZnCu11
_space_group_name_H-M_alt 'C 1 2/m 1'
_space_group_IT_number 12
_cell_length_a 4.8773
_cell_length_b 11.9607
_cell_length_c 6.5721
_cell_angle_alpha 90.00
_cell_angle_beta 111.16
_cell_angle_gamma 90.00
loop_
_space_group_symop_operation_xyz
'x,y,z'
'-x,-y,-z'
'-x,y,-z'
'x,-y,z'
'x+1/2,y+1/2,z'
'-x+1/2,-y+1/2,-z'
'-x+1/2,y+1/2,-z'
'x+1/2,-y+1/2,z'
loop_
_atom_site_label
_atom_site_type_symbol
_atom_site_fract_x
_atom_site_fract_y
_atom_site_fract_z
_atom_site_occupancy
Ce1 Ce 0.0000 0.0000 0.0000 1
Zn1 Zn 0.0000 0.5000 0.5000 1
Cu1 Cu 0.0000 0.0000 0.5000 1
Cu2 Cu 0.1108 0.3875 0.2235 1
Cu3 Cu 0.1675 0.1796 0.3530 1
Cu4 Cu 0.2500 0.2500 0.0000 1
```

***

no.,total energy (eV per atom),size of the total moment (μB/cell)
1,-2.031,0.0
2,-6.553,0.0
3,-4.563,0.2
4,-9.787,13.4
5,-6.042,0.0
6,-10.005,29.1
7,-2.974,15.6
8,-7.003,0.0
9,-5.134,0.0
10,-5.926,11.6
11,-7.907,0.0
12,-4.081,1.2